BaAl2TeO6 after structural relaxation, computed with PBE.

Values from the calculation:
Size of the total moment (Bohr magnetons per cell): 0.0
ρ (g/cm3): 4.5
Formation energy without anion corrections (meV per atom): -2404
Volume (Å³/cell): 613.4
Total energy (eV per atom): -6.6342

Lattice parameters (Å, degrees): 10.7078 10.0493 5.9666 90.00 107.17 90.00
With the nearest neighbours (Å) after each atom.
Space group C2/c (No. 15)
One atom of each set of equivalent atoms:
Ba: 0.0000 0.1562 0.2500 (multiplicity 4)  6 O 2.64-2.79
Al: 0.2241 0.0896 0.8092 (multiplicity 8)  4 O 1.76-1.83
Te: 0.0000 0.3631 0.7500 (multiplicity 4)  4 O 1.93-2.09
O: 0.1113 0.3591 0.1030 (multiplicity 8)  1 Al 1.76
O: 0.1180 0.2317 0.6910 (multiplicity 8)  1 Al 1.83, 1 Te 1.93
O: 0.1823 0.0117 0.0479 (multiplicity 8)  2 Al 1.79-1.80